No. 1
Here is an optimized crystal structure of Ce4CdPt12 from Alexandria. Energies are from PBE-GGA.

a b c (Å): 8.6735 8.6735 8.6735
angles (deg): 90.00 90.00 90.00
Space group Im-3m (No. 229)
Symmetry-distinct sites (fractional):
Ce: 0.2500 0.2500 0.2500 [8 per cell]
Cd: 0.0000 0.0000 0.0000 [2 per cell]
Pt: 0.0000 0.0000 0.3045 [12 per cell]
Pt: 0.0000 0.2500 0.5000 [12 per cell]

Output
theoretical density: 15340 kg/m3
calculated formation energy: -0.8228 eV/atom
total DFT energy (no corrections): -6.5369 eV per atom
total moment: 0.14 μB/atom
crystal system: cubic



No. 2
Here is an optimized crystal structure of Ce3CdPt from Alexandria. Energies are from PBE-GGA.

a b c (Å): 8.2470 3.6667 8.5549
angles (deg): 90.00 98.18 90.00
Space group P2_1/m (No. 11)
Symmetry-distinct sites (fractional):
Ce: 0.0398 0.2500 0.1653 [2 per cell]
Ce: 0.3220 0.2500 0.8520 [2 per cell]
Ce: 0.4444 0.2500 0.3799 [2 per cell]
Cd: 0.1504 0.7500 0.5139 [2 per cell]
Pt: 0.3013 0.7500 0.1103 [2 per cell]

Output
theoretical density: 9440 kg/m3
calculated formation energy: -0.4532 eV/atom
total DFT energy (no corrections): -5.4047 eV per atom
total moment: 0.33 μB/atom
crystal system: monoclinic



No. 3
Here is an optimized crystal structure of CeScCdPt from Alexandria. Energies are from PBE-GGA.

a b c (Å): 7.1241 7.1241 7.1241
angles (deg): 90.00 90.00 90.00
Space group F-43m (No. 216)
Symmetry-distinct sites (fractional):
Ce: 0.0000 0.0000 0.0000 [4 per cell]
Sc: 0.0000 0.0000 0.5000 [4 per cell]
Cd: 0.2500 0.2500 0.2500 [4 per cell]
Pt: 0.2500 0.2500 0.7500 [4 per cell]

Output
theoretical density: 9049 kg/m3
calculated formation energy: -0.5453 eV/atom
total DFT energy (no corrections): -5.3506 eV per atom
total moment: 0.22 μB/atom
crystal system: cubic



No. 4
Here is an optimized crystal structure of Ce3CdSi2Pt9 from Alexandria. Energies are from PBE-GGA.

a b c (Å): 5.6824 5.6824 11.8347
angles (deg): 90.00 90.00 120.00
Space group P-3m1 (No. 164)
Symmetry-distinct sites (fractional):
Ce: 0.0000 0.0000 0.0000 [1 per cell]
Ce: 0.3333 0.6667 0.7633 [2 per cell]
Cd: 0.0000 0.0000 0.5000 [1 per cell]
Si: 0.3333 0.6667 0.1581 [2 per cell]
Pt: 0.0000 0.5000 0.0000 [3 per cell]
Pt: 0.1613 0.3225 0.3009 [6 per cell]

Output
theoretical density: 11765 kg/m3
total DFT energy (no corrections): -6.3522 eV per atom
total moment: 0.11 μB/atom
ΔE_f (raw): -0.757 eV per atom
crystal system: trigonal



No. 5
Here is an optimized crystal structure of CeCd2Si2Pt7 from Alexandria. Energies are from PBE-GGA.

a b c (Å): 5.6714 5.6515 14.1973
angles (deg): 90.00 98.20 90.00
Space group C2/m (No. 12)
Symmetry-distinct sites (fractional):
Ce: 0.0000 0.0000 0.0000 [2 per cell]
Cd: 0.0990 0.0000 0.3959 [4 per cell]
Si: 0.0887 0.5000 0.2585 [4 per cell]
Pt: 0.0000 0.5000 0.0000 [2 per cell]
Pt: 0.1118 0.5000 0.4205 [4 per cell]
Pt: 0.1948 0.2495 0.8390 [8 per cell]

Output
theoretical density: 13174 kg/m3
total DFT energy (no corrections): -5.6921 eV per atom
total moment: 0.02 μB/atom
ΔE_f (raw): -0.617 eV per atom
crystal system: monoclinic



No. 6
Here is an optimized crystal structure of CeCdSi2Pt2 from Alexandria. Energies are from PBE-GGA.

a b c (Å): 4.1620 4.1620 7.6388
angles (deg): 90.00 90.00 120.00
Space group P-3m1 (No. 164)
Symmetry-distinct sites (fractional):
Ce: 0.0000 0.0000 0.0000 [1 per cell]
Cd: 0.0000 0.0000 0.5000 [1 per cell]
Si: 0.3333 0.6667 0.2474 [2 per cell]
Pt: 0.3333 0.6667 0.7098 [2 per cell]

Output
theoretical density: 10127 kg/m3
total DFT energy (no corrections): -5.6957 eV per atom
total moment: 0.03 μB/atom
ΔE_f (raw): -0.733 eV per atom
crystal system: trigonal



No. 7
Here is an optimized crystal structure of CeSmCdPt from Alexandria. Energies are from PBE-GGA.

a b c (Å): 7.3655 7.3655 7.3655
angles (deg): 90.00 90.00 90.00
Space group F-43m (No. 216)
Symmetry-distinct sites (fractional):
Ce: 0.0000 0.0000 0.0000 [4 per cell]
Sm: 0.0000 0.0000 0.5000 [4 per cell]
Cd: 0.2500 0.2500 0.2500 [4 per cell]
Pt: 0.2500 0.2500 0.7500 [4 per cell]

Output
theoretical density: 9940 kg/m3
calculated formation energy: -0.5583 eV/atom
total DFT energy (no corrections): -4.9605 eV per atom
total moment: 0.24 μB/atom
crystal system: cubic



No. 8
Here is an optimized crystal structure of CeCdSnPt3 from Alexandria. Energies are from PBE-GGA.

a b c (Å): 5.7524 12.4169 7.4987
angles (deg): 90.00 90.00 90.00
Space group Cmcm (No. 63)
Symmetry-distinct sites (fractional):
Ce: 0.0000 0.1452 0.2500 [4 per cell]
Cd: 0.0000 0.3987 0.2500 [4 per cell]
Sn: 0.0000 0.1399 0.7500 [4 per cell]
Pt: 0.0000 0.3542 0.7500 [4 per cell]
Pt: 0.2397 0.0000 0.0000 [8 per cell]

Output
theoretical density: 11862 kg/m3
calculated formation energy: -0.4779 eV/atom
total DFT energy (no corrections): -5.3069 eV per atom
total moment: 0.08 μB/atom
crystal system: orthorhombic